No. 1
DFT (PBE) results for a relaxed Ag2PBr2F4 crystal.

Lattice parameters (Å, degrees): 4.978 7.266 7.266 42.65 85.90 85.90
Fractional positions:
F: 0.303 0.177 0.739
F: 0.697 0.261 0.823
P: 0.500 0.000 0.000
Ag: 0.193 0.159 0.159
Br: 0.783 0.306 0.306
F: 0.697 0.823 0.261
Ag: 0.807 0.841 0.841
F: 0.303 0.739 0.177
Br: 0.217 0.694 0.694

Volume (Å³ per atom): 19.73
Final energy (Ry/atom): -0.267

No. 2
DFT (PBE) results for a relaxed PaAg3Br2F6 crystal.

Lattice parameters (Å, degrees): 5.107 7.481 8.258 116.93 96.98 90.00
Fractional positions:
Pa: 0.500 0.000 0.000
Br: 0.808 0.321 0.642
Ag: 0.500 0.000 0.500
F: 0.248 0.736 0.881
Br: 0.192 0.679 0.358
Ag: 0.500 0.500 0.500
F: 0.752 0.854 0.119
F: 0.248 0.146 0.881
Ag: 0.000 0.500 0.000
F: 0.752 0.264 0.119
F: 0.306 0.119 0.237
F: 0.694 0.881 0.763

Volume (Å³ per atom): 23.22
Final energy (Ry/atom): -0.360

No. 3
DFT (PBE) results for a relaxed PaAg3Br6F2 crystal.

Lattice parameters (Å, degrees): 7.195 7.683 7.870 119.22 111.97 90.00
Fractional positions:
Ag: 0.500 0.500 0.500
F: 0.715 0.356 0.712
F: 0.285 0.644 0.288
Ag: 0.000 0.500 0.000
Br: 0.251 0.110 0.220
Br: 0.749 0.890 0.780
Pa: 0.500 0.000 0.000
Br: 0.247 0.126 0.748
Br: 0.753 0.377 0.252
Br: 0.247 0.623 0.748
Ag: 0.500 0.000 0.500
Br: 0.753 0.874 0.252

Volume (Å³ per atom): 28.59
Final energy (Ry/atom): -0.274

No. 4
DFT (PBE) results for a relaxed Ag3PbBr2F6 crystal.

Lattice parameters (Å, degrees): 5.141 6.888 7.542 117.17 89.67 90.00
Fractional positions:
Br: 0.839 0.313 0.626
Ag: 0.500 0.500 0.500
F: 0.270 0.711 0.874
F: 0.270 0.163 0.874
F: 0.730 0.837 0.126
Ag: 0.500 0.000 0.500
Ag: 0.000 0.500 0.000
F: 0.300 0.140 0.280
Br: 0.161 0.687 0.374
Pb: 0.500 0.000 0.000
F: 0.700 0.860 0.720
F: 0.730 0.289 0.126

Volume (Å³ per atom): 19.80
Final energy (Ry/atom): -0.254

No. 5
DFT (PBE) results for a relaxed AgPdBrF2 crystal.

Lattice parameters (Å, degrees): 3.909 6.663 7.253 90.00 90.00 107.06
Fractional positions:
F: 0.160 0.320 0.516
F: 0.840 0.680 0.016
Br: 0.503 0.006 0.250
Pd: 0.000 0.000 0.500
Br: 0.497 0.994 0.750
Ag: 0.276 0.551 0.250
Ag: 0.724 0.449 0.750
F: 0.160 0.320 0.984
F: 0.840 0.680 0.484
Pd: 0.000 0.000 0.000

Volume (Å³ per atom): 18.06
Final energy (Ry/atom): -0.259
Offset from the most stable computed form (eV per atom): 0.0000

No. 6
DFT (PBE) results for a relaxed Ag3PdBr2F6 crystal.

Lattice parameters (Å, degrees): 5.067 6.641 7.292 117.09 88.52 90.00
Fractional positions:
Br: 0.863 0.307 0.615
F: 0.711 0.871 0.742
Ag: 0.500 0.000 0.500
Pd: 0.500 0.000 0.000
Br: 0.137 0.693 0.385
F: 0.289 0.129 0.258
F: 0.291 0.153 0.873
F: 0.291 0.720 0.873
Ag: 0.500 0.500 0.500
F: 0.709 0.847 0.127
F: 0.709 0.280 0.127
Ag: 0.000 0.500 0.000

Volume (Å³ per atom): 18.20
Final energy (Ry/atom): -0.245

No. 7
DFT (PBE) results for a relaxed AgPdBrF2 crystal.

Lattice parameters (Å, degrees): 4.004 4.004 6.096 90.00 90.00 90.00
Fractional positions:
Ag: 0.000 0.000 0.500
F: 0.000 0.500 0.000
Pd: 0.000 0.000 0.000
Br: 0.500 0.500 0.500
F: 0.500 0.000 0.000

Volume (Å³ per atom): 19.55
Final energy (Ry/atom): -0.251
Offset from the most stable computed form (eV per atom): 0.0966

No. 8
DFT (PBE) results for a relaxed AgPdBrF2 crystal.

Lattice parameters (Å, degrees): 4.171 4.171 5.373 90.00 90.00 90.00
Fractional positions:
Pd: 0.000 0.000 0.000
Ag: 0.500 0.500 0.500
F: 0.000 0.500 0.000
Br: 0.000 0.000 0.500
F: 0.500 0.000 0.000

Volume (Å³ per atom): 18.69
Final energy (Ry/atom): -0.254
Offset from the most stable computed form (eV per atom): 0.0576